# CoAsP2

A geometry-optimized CoAsP2 structure (PBE, the Alexandria database).

* DFT formation energy: 0.135 eV per atom
* total moment: 0.00 μB per cell

Cell lengths 2.7119, 2.7119, 8.1381 Å; angles 90.00, 90.00, 90.00 degrees
Space group P4/mmm (No. 123)
One atom of each set of equivalent atoms:
Co  0.0000  0.0000  0.0000 (multiplicity 1)
As  0.0000  0.0000  0.5000 (multiplicity 1)
P  0.5000  0.5000  0.1757 (multiplicity 2)

# VAsOs3

A geometry-optimized VAsOs3 structure (PBE, the Alexandria database).

* DFT formation energy: 1.763 eV per atom
* polymorph energy (0 for the lowest one): 207 meV per atom
* total moment: 0.00 μB per cell

Cell lengths 4.5048, 4.5048, 4.5048 Å; angles 90.00, 90.00, 90.00 degrees
Space group Pm-3m (No. 221)
One atom of each set of equivalent atoms:
V  0.0000  0.0000  0.0000 (multiplicity 1)
As  0.5000  0.5000  0.5000 (multiplicity 1)
Os  0.0000  0.0000  0.5000 (multiplicity 3)

# NaInC

A geometry-optimized NaInC structure (PBE, the Alexandria database).

* DFT formation energy: 0.929 eV per atom
* total moment: 0.00 μB per cell

Cell lengths 6.7619, 4.9147, 3.6258 Å; angles 90.00, 90.00, 90.00 degrees
Space group Pmma (No. 51)
One atom of each set of equivalent atoms:
Na  0.2500  0.0000  0.0401 (multiplicity 2)
In  0.0000  0.5000  0.5000 (multiplicity 2)
C  0.2500  0.5000  0.8736 (multiplicity 2)

# PrY4Tm2Sc

A geometry-optimized PrY4Tm2Sc structure (PBE, the Alexandria database).

* DFT formation energy: 0.438 eV per atom
* total moment: 11.39 μB per cell

Cell lengths 6.7577, 11.6703, 13.1007 Å; angles 90.00, 90.00, 90.00 degrees
Space group Imma (No. 74)
One atom of each set of equivalent atoms:
Pr  0.0000  0.0000  0.0000 (multiplicity 4)
Y  0.0000  0.0097  0.2528 (multiplicity 8)
Y  0.2482  0.2500  0.4920 (multiplicity 8)
Tm  0.0000  0.0000  0.5000 (multiplicity 4)
Tm  0.2500  0.2500  0.7500 (multiplicity 4)
Sc  0.2500  0.2500  0.2500 (multiplicity 4)

# Nd3Ga2Sn3

A geometry-optimized Nd3Ga2Sn3 structure (PBE, the Alexandria database).

* DFT formation energy: -0.645 eV per atom
* total moment: 0.00 μB per cell

Cell lengths 4.4454, 11.7442, 16.0937 Å; angles 90.00, 90.00, 90.00 degrees
Space group Cmcm (No. 63)
One atom of each set of equivalent atoms:
Nd  0.0000  0.0580  0.1118 (multiplicity 8)
Nd  0.0000  0.3356  0.2500 (multiplicity 4)
Ga  0.0000  0.2260  0.6187 (multiplicity 8)
Sn  0.0000  0.3709  0.0369 (multiplicity 8)
Sn  0.0000  0.3904  0.7500 (multiplicity 4)

# SrLa2Hg

A geometry-optimized SrLa2Hg structure (PBE, the Alexandria database).

* DFT formation energy: 0.021 eV per atom
* total moment: 8.53 μB per cell

Cell lengths 8.1322, 8.1322, 8.1322 Å; angles 90.00, 90.00, 90.00 degrees
Space group F-43m (No. 216)
One atom of each set of equivalent atoms:
Sr  0.0000  0.0000  0.0000 (multiplicity 4)
La  0.0000  0.0000  0.5000 (multiplicity 4)
La  0.2500  0.2500  0.2500 (multiplicity 4)
Hg  0.2500  0.2500  0.7500 (multiplicity 4)

# KMnNi

A geometry-optimized KMnNi structure (PBE, the Alexandria database).

* DFT formation energy: 0.668 eV per atom
* polymorph energy (0 for the lowest one): 306 meV per atom
* total moment: 0.00 μB per cell

Cell lengths 3.7293, 4.0071, 10.1898 Å; angles 90.13, 92.03, 90.00 degrees
Space group P1 (No. 1)
One atom of each set of equivalent atoms:
K  0.0000  0.0000  0.0000 (multiplicity 1)
K  0.4381  0.5024  0.6096 (multiplicity 1)
Mn  0.0052  0.5025  0.3159 (multiplicity 1)
Mn  0.5519  0.5020  0.2064 (multiplicity 1)
Ni  0.4006  0.0027  0.2939 (multiplicity 1)
Ni  0.8904  0.0030  0.4265 (multiplicity 1)

# LaH3C3O6

A geometry-optimized LaH3C3O6 structure (PBE, the Alexandria database).

* E: -7.03 eV/atom
* total moment: 0.00 μB per cell

Cell lengths 10.8493, 10.8493, 4.1854 Å; angles 90.00, 90.00, 120.00 degrees
Space group R3m (No. 160, hexagonal axes)
One atom of each set of equivalent atoms:
La  0.0000  0.0000  0.0000 (multiplicity 3)
H  0.1714  0.3428  0.2088 (multiplicity 9)
C  0.0273  0.5136  0.1266 (multiplicity 9)
O  0.0856  0.1712  0.5050 (multiplicity 9)
O  0.1989  0.3978  0.6807 (multiplicity 9)

# Pt6Br7

A geometry-optimized Pt6Br7 structure (PBE, the Alexandria database).

* total moment: 0.01 μB per cell
* E_form (uncorrected): 0.780 eV/atom

Cell lengths 7.7934, 7.7934, 20.1246 Å; angles 90.00, 90.00, 120.00 degrees
Space group R-3m (No. 166, hexagonal axes)
One atom of each set of equivalent atoms:
Pt  0.0000  0.0000  0.0589 (multiplicity 6)
Pt  0.0000  0.0000  0.1796 (multiplicity 6)
Pt  0.0000  0.0000  0.3349 (multiplicity 6)
Br  0.0000  0.0000  0.5000 (multiplicity 3)
Br  0.0262  0.5131  0.9217 (multiplicity 18)

# Sr4Ac3Tl4

A geometry-optimized Sr4Ac3Tl4 structure (PBE, the Alexandria database).

* DFT formation energy: -0.221 eV per atom
* total moment: 0.00 μB per cell

Cell lengths 5.7234, 8.0407, 18.6254 Å; angles 90.00, 90.00, 90.00 degrees
Space group Immm (No. 71)
One atom of each set of equivalent atoms:
Sr  0.0000  0.2284  0.1799 (multiplicity 8)
Ac  0.0000  0.0000  0.4022 (multiplicity 4)
Ac  0.0000  0.5000  0.5000 (multiplicity 2)
Tl  0.0000  0.3047  0.0000 (multiplicity 4)
Tl  0.0000  0.5000  0.3150 (multiplicity 4)

# NaAsO2

A geometry-optimized NaAsO2 structure (PBE, the Alexandria database).

* total moment: 0.00 μB per cell
* E_form (uncorrected): -1.516 eV/atom

Cell lengths 5.1707, 15.9031, 6.7904 Å; angles 90.00, 90.00, 90.00 degrees
Space group Pbca (No. 61)
One atom of each set of equivalent atoms:
Na  0.2427  0.0504  0.0985 (multiplicity 8)
As  0.2320  0.1606  0.5987 (multiplicity 8)
O  0.0817  0.6169  0.8138 (multiplicity 8)
O  0.2109  0.5814  0.4298 (multiplicity 8)

# Mg2Ag3Pd8

A geometry-optimized Mg2Ag3Pd8 structure (PBE, the Alexandria database).

* DFT formation energy: -0.158 eV per atom
* polymorph energy (0 for the lowest one): 0 meV per atom
* total moment: 0.00 μB per cell

Cell lengths 10.4470, 9.2570, 4.8297 Å; angles 90.00, 112.11, 90.00 degrees
Space group C2/m (No. 12)
One atom of each set of equivalent atoms:
Mg  0.2026  0.0000  0.3564 (multiplicity 4)
Ag  0.0000  0.2549  0.0000 (multiplicity 4)
Ag  0.0000  0.5000  0.5000 (multiplicity 2)
Pd  0.0679  0.0000  0.7935 (multiplicity 4)
Pd  0.1560  0.5000  0.0824 (multiplicity 4)
Pd  0.1743  0.2526  0.6800 (multiplicity 8)